# CrGaB3 (GGA-PBEsol, optimized geometry)
# * DFT total energy: -4.92 eV/atom
# * energy of formation: 2.005 eV per atom
data_CrGaB3
_chemical_formula_sum 'Cr1 Ga1 B3'
_space_group_name_H-M_alt 'P 1'
_space_group_IT_number 1
_space_group_name_Hall 'P 1'
_cell_length_a 4.0055
_cell_length_b 4.0055
_cell_length_c 4.0055
_cell_angle_alpha 90.00
_cell_angle_beta 90.00
_cell_angle_gamma 90.00
loop_
_atom_site_label
_atom_site_fract_x
_atom_site_fract_y
_atom_site_fract_z
B1 0.0000 0.0000 0.5000
B2 0.5000 0.0000 0.0000
B3 0.0000 0.5000 0.0000
Ga1 0.0000 0.0000 0.0000
Cr1 0.5000 0.5000 0.5000

=====

# Al2Sb2Pd (GGA-PBEsol, optimized geometry)
# * DFT total energy: -4.68 eV/atom
# * formation energy without anion corrections: -0.025 eV/atom
data_Al2Sb2Pd
_chemical_formula_sum 'Al4 Sb4 Pd2'
_space_group_name_H-M_alt 'P 1'
_space_group_IT_number 1
_space_group_name_Hall 'P 1'
_cell_length_a 4.5064
_cell_length_b 6.6824
_cell_length_c 6.6824
_cell_angle_alpha 90.00
_cell_angle_beta 90.00
_cell_angle_gamma 90.00
loop_
_atom_site_label
_atom_site_fract_x
_atom_site_fract_y
_atom_site_fract_z
Sb1 0.5000 0.3168 0.1832
Sb2 0.5000 0.8168 0.3168
Sb3 0.5000 0.6832 0.8168
Sb4 0.5000 0.1832 0.6832
Al1 0.0000 0.6386 0.1386
Al2 0.0000 0.1386 0.3614
Al3 0.0000 0.8614 0.6386
Al4 0.0000 0.3614 0.8614
Pd1 0.0000 0.5000 0.5000
Pd2 0.0000 0.0000 0.0000

=====

# KReSe3 (GGA-PBEsol, optimized geometry)
# * DFT total energy: -3.06 eV/atom
# * formation energy without anion corrections: 2.143 eV/atom
data_KReSe3
_chemical_formula_sum 'K1 Re1 Se3'
_space_group_name_H-M_alt 'P 1'
_space_group_IT_number 1
_space_group_name_Hall 'P 1'
_cell_length_a 5.3434
_cell_length_b 5.3434
_cell_length_c 5.3434
_cell_angle_alpha 90.00
_cell_angle_beta 90.00
_cell_angle_gamma 90.00
loop_
_atom_site_label
_atom_site_fract_x
_atom_site_fract_y
_atom_site_fract_z
Se1 0.0000 0.5000 0.0000
Se2 0.5000 0.0000 0.0000
Se3 0.0000 0.0000 0.5000
Re1 0.5000 0.5000 0.5000
K1 0.0000 0.0000 0.0000

=====

# TiNi3H (GGA-PBEsol, optimized geometry)
# * DFT total energy: -6.30 eV/atom
data_TiNi3H
_chemical_formula_sum 'Ti1 Ni3 H1'
_space_group_name_H-M_alt 'P 1'
_space_group_IT_number 1
_space_group_name_Hall 'P 1'
_cell_length_a 3.6264
_cell_length_b 3.6264
_cell_length_c 3.6264
_cell_angle_alpha 90.00
_cell_angle_beta 90.00
_cell_angle_gamma 90.00
loop_
_atom_site_label
_atom_site_fract_x
_atom_site_fract_y
_atom_site_fract_z
H1 0.0000 0.0000 0.0000
Ni1 0.0000 0.5000 0.0000
Ni2 0.5000 0.0000 0.0000
Ni3 0.0000 0.0000 0.5000
Ti1 0.5000 0.5000 0.5000

=====

# SrZn4In (GGA-PBEsol, optimized geometry)
# * DFT total energy: -1.96 eV/atom
# * energy of formation: -0.100 eV per atom
data_SrZn4In
_chemical_formula_sum 'Sr1 Zn4 In1'
_space_group_name_H-M_alt 'P 1'
_space_group_IT_number 1
_space_group_name_Hall 'P 1'
_cell_length_a 5.4946
_cell_length_b 5.4946
_cell_length_c 5.4946
_cell_angle_alpha 60.00
_cell_angle_beta 60.00
_cell_angle_gamma 60.00
loop_
_atom_site_label
_atom_site_fract_x
_atom_site_fract_y
_atom_site_fract_z
Zn1 0.3747 0.3747 0.8759
Zn2 0.3747 0.8759 0.3747
Zn3 0.8759 0.3747 0.3747
Zn4 0.3747 0.3747 0.3747
Sr1 0.0000 0.0000 0.0000
In1 0.7500 0.7500 0.7500

=====

# KTa2PO8 (GGA-PBEsol, optimized geometry)
# * DFT total energy: -8.82 eV/atom
# * formation energy without anion corrections: -2.651 eV/atom
data_KTa2PO8
_chemical_formula_sum 'K3 Ta6 P3 O24'
_space_group_name_H-M_alt 'P 1'
_space_group_IT_number 1
_space_group_name_Hall 'P 1'
_cell_length_a 8.4487
_cell_length_b 8.4487
_cell_length_c 8.4487
_cell_angle_alpha 104.34
_cell_angle_beta 104.34
_cell_angle_gamma 104.34
loop_
_atom_site_label
_atom_site_fract_x
_atom_site_fract_y
_atom_site_fract_z
Ta1 0.9684 0.6523 0.8446
Ta2 0.8446 0.9684 0.6523
Ta3 0.0402 0.1583 0.3551
Ta4 0.6523 0.8446 0.9684
Ta5 0.1583 0.3551 0.0402
Ta6 0.3551 0.0402 0.1583
O1 0.3552 0.5583 0.2316
O2 0.1535 0.8486 0.0011
O3 0.8739 0.2864 0.4240
O4 0.3140 0.2126 0.0664
O5 0.7043 0.1261 0.5854
O6 0.0664 0.3140 0.2126
O7 0.9698 0.0223 0.4973
O8 0.4434 0.6426 0.7661
O9 0.2126 0.0664 0.3140
O10 0.8486 0.0011 0.1535
O11 0.6838 0.9303 0.7882
O12 0.7661 0.4434 0.6426
O13 0.0011 0.1535 0.8486
O14 0.2316 0.3552 0.5583
O15 0.5583 0.2316 0.3552
O16 0.1261 0.5854 0.7043
O17 0.6426 0.7661 0.4434
O18 0.7882 0.6838 0.9303
O19 0.2864 0.4240 0.8739
O20 0.4240 0.8739 0.2864
O21 0.9303 0.7882 0.6838
O22 0.0223 0.4973 0.9698
O23 0.5854 0.7043 0.1261
O24 0.4973 0.9698 0.0223
K1 0.5872 0.3571 0.8652
K2 0.3571 0.8652 0.5872
K3 0.8652 0.5872 0.3571
P1 0.7269 0.2697 0.5020
P2 0.5020 0.7269 0.2697
P3 0.2697 0.5020 0.7269

=====

# ZnFeS3 (GGA-PBEsol, optimized geometry)
# * DFT total energy: -3.91 eV/atom
# * formation energy without anion corrections: 0.825 eV/atom
data_ZnFeS3
_chemical_formula_sum 'Zn1 Fe1 S3'
_space_group_name_H-M_alt 'P 1'
_space_group_IT_number 1
_space_group_name_Hall 'P 1'
_cell_length_a 4.5480
_cell_length_b 4.5480
_cell_length_c 4.5480
_cell_angle_alpha 90.00
_cell_angle_beta 90.00
_cell_angle_gamma 90.00
loop_
_atom_site_label
_atom_site_fract_x
_atom_site_fract_y
_atom_site_fract_z
S1 0.5000 0.0000 0.0000
S2 0.0000 0.0000 0.5000
S3 0.0000 0.5000 0.0000
Zn1 0.0000 0.0000 0.0000
Fe1 0.5000 0.5000 0.5000

=====

# CdAgOs2 (GGA-PBEsol, optimized geometry)
# * DFT total energy: -6.48 eV/atom
# * energy of formation: 0.754 eV per atom
data_CdAgOs2
_chemical_formula_sum 'Cd1 Ag1 Os2'
_space_group_name_H-M_alt 'P 1'
_space_group_IT_number 1
_space_group_name_Hall 'P 1'
_cell_length_a 2.7142
_cell_length_b 2.7142
_cell_length_c 9.6936
_cell_angle_alpha 90.00
_cell_angle_beta 90.00
_cell_angle_gamma 118.18
loop_
_atom_site_label
_atom_site_fract_x
_atom_site_fract_y
_atom_site_fract_z
Ag1 0.5000 0.5000 0.5000
Os1 0.0000 0.0000 0.2518
Os2 0.0000 0.0000 0.7482
Cd1 0.5000 0.5000 0.0000

=====

# Y2InCu (GGA-PBEsol, optimized geometry)
# * DFT total energy: -5.17 eV/atom
# * energy of formation: 0.070 eV per atom
data_Y2InCu
_chemical_formula_sum 'Y2 In1 Cu1'
_space_group_name_H-M_alt 'P 1'
_space_group_IT_number 1
_space_group_name_Hall 'P 1'
_cell_length_a 5.0325
_cell_length_b 5.0325
_cell_length_c 5.0325
_cell_angle_alpha 60.00
_cell_angle_beta 60.00
_cell_angle_gamma 60.00
loop_
_atom_site_label
_atom_site_fract_x
_atom_site_fract_y
_atom_site_fract_z
In1 0.7500 0.7500 0.7500
Y1 0.0000 0.0000 0.0000
Y2 0.2500 0.2500 0.2500
Cu1 0.5000 0.5000 0.5000

=====

# ZnRe4Se (GGA-PBEsol, optimized geometry)
# * DFT total energy: -8.95 eV/atom
# * formation energy without anion corrections: 0.841 eV/atom
data_ZnRe4Se
_chemical_formula_sum 'Zn1 Re4 Se1'
_space_group_name_H-M_alt 'P 1'
_space_group_IT_number 1
_space_group_name_Hall 'P 1'
_cell_length_a 5.1731
_cell_length_b 5.1731
_cell_length_c 5.1731
_cell_angle_alpha 60.00
_cell_angle_beta 60.00
_cell_angle_gamma 60.00
loop_
_atom_site_label
_atom_site_fract_x
_atom_site_fract_y
_atom_site_fract_z
Se1 0.7500 0.7500 0.7500
Re1 0.3755 0.8734 0.3755
Re2 0.3755 0.3755 0.3755
Re3 0.8734 0.3755 0.3755
Re4 0.3755 0.3755 0.8734
Zn1 0.0000 0.0000 0.0000

=====

# In3Hg (GGA-PBEsol, optimized geometry)
# * DFT total energy: -2.38 eV/atom
# * energy of formation: -0.006 eV per atom
data_In3Hg
_chemical_formula_sum 'In3 Hg1'
_space_group_name_H-M_alt 'P 1'
_space_group_IT_number 1
_space_group_name_Hall 'P 1'
_cell_length_a 3.2959
_cell_length_b 4.4684
_cell_length_c 6.6331
_cell_angle_alpha 90.00
_cell_angle_beta 90.00
_cell_angle_gamma 90.00
loop_
_atom_site_label
_atom_site_fract_x
_atom_site_fract_y
_atom_site_fract_z
Hg1 0.0000 0.0000 0.0000
In1 0.5000 0.5000 0.2430
In2 0.0000 0.0000 0.5000
In3 0.5000 0.5000 0.7570